No. 1
VASP calculation (PBE) on a relaxed structure of K2Tl4Ru.

Calculated values
**M_tot**: 0.00 μB/atom
**Electronic total energy**: -0.106 hartree per atom
**Density of states at the Fermi level**: 0.548 states/eV per atom

Cell lengths 5.351, 5.351, 17.613 Å; angles 90.00, 90.00, 90.00 degrees
Space group I4/mmm (No. 139)
Unique sites:
K (0.000, 0.000, 0.148) (multiplicity 4)
Tl (0.000, 0.000, 0.346) (multiplicity 4)
Tl (0.000, 0.500, 0.000) (multiplicity 4)
Ru (0.000, 0.000, 0.500) (multiplicity 2)


No. 2
VASP calculation (PBE) on a relaxed structure of KTlRu3.

Calculated values
**ΔE to the lowest computed polymorph**: 653 meV/atom
**M_tot**: 1.17 μB/atom
**Density of states at the Fermi level**: 0.746 states/eV per atom

Cell lengths 4.797, 4.797, 4.797 Å; angles 90.00, 90.00, 90.00 degrees
Space group Pm-3m (No. 221)
Unique sites:
K (0.000, 0.000, 0.000) (multiplicity 1)
Tl (0.500, 0.500, 0.500) (multiplicity 1)
Ru (0.000, 0.000, 0.500) (multiplicity 3)


No. 3
VASP calculation (PBE) on a relaxed structure of KTl4Ru.

Calculated values
**M_tot**: 0.28 μB/atom
**Electronic total energy**: -0.097 hartree per atom
**Density of states at the Fermi level**: 1.031 states/eV per atom

Cell lengths 8.848, 8.848, 8.848 Å; angles 90.00, 90.00, 90.00 degrees
Space group F-43m (No. 216)
Unique sites:
K (0.000, 0.000, 0.000) (multiplicity 4)
Tl (0.124, 0.124, 0.376) (multiplicity 16)
Ru (0.250, 0.250, 0.750) (multiplicity 4)


No. 4
VASP calculation (PBE) on a relaxed structure of KTlRu2.

Calculated values
**ΔE to the lowest computed polymorph**: 613 meV/atom
**M_tot**: 0.00 μB/atom
**Density of states at the Fermi level**: 1.219 states/eV per atom

Cell lengths 3.009, 5.168, 10.393 Å; angles 90.00, 90.00, 90.00 degrees
Space group Immm (No. 71)
Unique sites:
K (0.000, 0.000, 0.000) (multiplicity 2)
Tl (0.000, 0.000, 0.500) (multiplicity 2)
Ru (0.000, 0.500, 0.223) (multiplicity 4)


No. 5
VASP calculation (PBE) on a relaxed structure of KTlRu2.

Calculated values
**ΔE to the lowest computed polymorph**: 606 meV/atom
**M_tot**: 0.29 μB/atom
**Density of states at the Fermi level**: 1.129 states/eV per atom

Cell lengths 3.157, 5.001, 10.173 Å; angles 90.00, 90.00, 90.00 degrees
Space group Cmmm (No. 65)
Unique sites:
K (0.000, 0.000, 0.000) (multiplicity 2)
Tl (0.000, 0.000, 0.500) (multiplicity 2)
Ru (0.000, 0.500, 0.278) (multiplicity 4)


No. 6
VASP calculation (PBE) on a relaxed structure of KTlRu2.

Calculated values
**ΔE to the lowest computed polymorph**: 532 meV/atom
**M_tot**: 0.00 μB/atom
**Density of states at the Fermi level**: 1.082 states/eV per atom

Cell lengths 4.506, 4.506, 20.056 Å; angles 90.00, 90.00, 90.00 degrees
Space group I-42d (No. 122)
Unique sites:
K (0.000, 0.000, 0.000) (multiplicity 4)
Tl (0.000, 0.000, 0.500) (multiplicity 4)
Ru (0.101, 0.250, 0.625) (multiplicity 8)


No. 7
VASP calculation (PBE) on a relaxed structure of KTlRu2.

Calculated values
**ΔE to the lowest computed polymorph**: 639 meV/atom
**M_tot**: 0.47 μB/atom
**Density of states at the Fermi level**: 0.964 states/eV per atom

Cell lengths 6.811, 6.811, 6.811 Å; angles 90.00, 90.00, 90.00 degrees
Space group F-43m (No. 216)
Unique sites:
K (0.000, 0.000, 0.000) (multiplicity 4)
Tl (0.250, 0.250, 0.750) (multiplicity 4)
Ru (0.000, 0.000, 0.500) (multiplicity 4)
Ru (0.250, 0.250, 0.250) (multiplicity 4)


No. 8
VASP calculation (PBE) on a relaxed structure of KTlRu2.

Calculated values
**ΔE to the lowest computed polymorph**: 0 meV/atom
**M_tot**: 0.00 μB/atom
**Density of states at the Fermi level**: 1.004 states/eV per atom

Cell lengths 2.892, 3.711, 8.454 Å; angles 90.00, 90.00, 90.00 degrees
Space group Pmm2 (No. 25)
Unique sites:
K (0.000, 0.000, 0.000) (multiplicity 1)
Tl (0.500, 0.500, 0.662) (multiplicity 1)
Ru (0.000, 0.000, 0.425) (multiplicity 1)
Ru (0.500, 0.500, 0.308) (multiplicity 1)